Material: VBr3O6
Method: DFT, PBE with a Hubbard U
State: relaxed

The structure belongs to space group P2_1/c (No. 14); the cell edges are 6.014, 4.600 and 12.386 Å and the angles 90.00°, 94.22° and 90.00°. Symmetry generates all atoms from V at (0.000, 0.000, 0.000), Br at (0.172, 0.144, 0.808), Br at (0.500, 0.000, 0.500), O at (0.068, 0.102, 0.526), O at (0.276, 0.606, 0.540) and O at (0.360, 0.050, 0.353).

The energy comes out at -4.33 eV/atom. The calculation puts the volume at 342 Å³ per cell. Its total magnetization is 0.00 μB/cell.